Entry 1:
The following is a PBE calculation of an optimized crystal structure of SrTi2Ru, from the Alexandria database.

```
SrTi2Ru
1.0
5.025 0.000 0.000
0.000 5.025 0.000
2.512 2.512 8.500
Ti Sr Ru
4 2 2
Direct
0.875 0.125 0.750
0.875 0.125 0.250
0.875 0.625 0.250
0.375 0.125 0.750
0.500 0.500 0.000
0.250 0.750 0.500
0.750 0.250 0.500
0.000 0.000 0.000
```

Formation energy in eV per formula unit: 2.8
ΔE to the lowest computed polymorph in eV/atom: 0.226

Entry 2:
The following is a PBE calculation of an optimized crystal structure of AlInTe2I, from the Alexandria database.

```
AlInTe2I
1.0
-2.915 -0.340 -4.877
-4.753 -1.131 2.920
-1.203 5.858 0.311
Te In I Al
2 1 1 1
Direct
0.000 0.500 0.000
0.500 0.000 0.000
0.000 0.000 0.000
0.000 0.000 0.500
0.500 0.500 0.500
```

Energy relative to the elements, uncorrected in kJ/mol of formula units: 149
ΔE to the lowest computed polymorph in eV/atom: 0.386

no.,E (eV/cell)
1,-47.87
2,-12.77